Record 1
Here is an optimized crystal structure of Na2AlCd from Alexandria via LeMat-Bulk. Energies are from PBE.

Output
The formation energy is 141 meV per atom.

Lattice parameters (Å, degrees): 3.922 3.922 6.520 90.00 90.00 90.00
Sites, in units of the cell vectors:
Na1 0.000 0.000 0.744
Na2 0.000 0.000 0.256
Al1 0.500 0.500 0.500
Cd1 0.500 0.500 0.000

Record 2
Here is an optimized crystal structure of BeInCl2 from Alexandria via LeMat-Bulk. Energies are from PBE.

Output
As for the excess energy over the best structure of this formula in the dataset: 68 meV per atom. As for the formation energy (no corrections): -678.5 meV per atom.

Lattice parameters (Å, degrees): 3.393 5.849 6.403 55.76 90.00 90.00
Sites, in units of the cell vectors:
Be1 0.500 0.663 0.903
Cl1 0.000 0.883 0.887
Cl2 0.500 0.283 0.182
In1 0.000 0.671 0.528

Record 3
Here is an optimized crystal structure of Sr2AlGaCl from Alexandria via LeMat-Bulk. Energies are from PBE.

Output
As for the formation energy (no corrections): -524.5 meV per atom.

Lattice parameters (Å, degrees): 6.159 6.159 4.629 90.00 90.00 90.00
Sites, in units of the cell vectors:
Sr1 0.000 0.500 0.000
Sr2 0.500 0.000 0.000
Al1 0.000 0.000 0.500
Ga1 0.000 0.000 0.000
Cl1 0.500 0.500 0.500

Record 4
Here is an optimized crystal structure of MnMoPb2 from Alexandria via LeMat-Bulk. Energies are from PBE.

Output
As for the excess energy over the best structure of this formula in the dataset: 421 meV per atom. The formation energy is 769 meV per atom.

Lattice parameters (Å, degrees): 3.178 3.178 8.900 90.00 90.00 109.99
Last column: magnetic moment on the atom in μB.
Sites, in units of the cell vectors:
Mn1 0.500 0.500 0.250  3.58
Mo1 0.500 0.500 0.750  0.10
Pb1 0.000 0.000 0.000  -0.04
Pb2 0.000 0.000 0.500  -0.04

Record 5
Here is an optimized crystal structure of Ho3TlAg2Te6 from Alexandria via LeMat-Bulk. Energies are from PBE.

Output
As for the formation energy (no corrections): -904.1 meV per atom.

Lattice parameters (Å, degrees): 4.493 9.387 11.039 110.70 101.74 90.00
Sites, in units of the cell vectors:
Ho1 0.500 0.500 0.000
Ho2 0.838 0.198 0.675
Ho3 0.162 0.802 0.325
Tl1 0.500 0.000 0.000
Ag1 0.769 0.803 0.539
Ag2 0.231 0.197 0.461
Te1 0.332 0.952 0.665
Te2 0.651 0.565 0.301
Te3 0.668 0.048 0.335
Te4 0.985 0.265 0.970
Te5 0.015 0.735 0.030
Te6 0.349 0.435 0.699

Record 6
Here is an optimized crystal structure of Nd2YHoTm from Alexandria via LeMat-Bulk. Energies are from PBE.

Output
The formation energy is 407 meV per atom.

Lattice parameters (Å, degrees): 7.270 8.403 7.145 126.02 90.00 90.00
Sites, in units of the cell vectors:
Nd1 0.500 0.305 0.000
Nd2 0.000 0.695 0.000
Nd3 0.500 0.695 0.000
Nd4 0.000 0.305 0.000
Y1 0.750 0.741 0.482
Y2 0.250 0.259 0.518
Ho1 0.250 0.715 0.429
Ho2 0.750 0.285 0.571
Tm1 0.250 0.979 0.959
Tm2 0.750 0.021 0.041

Record 7
Here is an optimized crystal structure of CsLa2HgRu from Alexandria via LeMat-Bulk. Energies are from PBE.

Output
The formation energy is -40 meV per atom.

Lattice parameters (Å, degrees): 5.463 5.463 5.761 90.00 90.00 90.00
Sites, in units of the cell vectors:
Cs1 0.500 0.500 0.500
Ru1 0.000 0.000 0.000
Hg1 0.000 0.000 0.500
La1 0.000 0.500 0.000
La2 0.500 0.000 0.000

Record 8
Here is an optimized crystal structure of SiHgCl2 from Alexandria via LeMat-Bulk. Energies are from PBE.

Output
As for the excess energy over the best structure of this formula in the dataset: 238 meV per atom. As for the formation energy (no corrections): -173.0 meV per atom.

Lattice parameters (Å, degrees): 3.718 3.718 10.735 90.00 90.00 121.62
Sites, in units of the cell vectors:
Cl1 0.000 0.000 0.911
Cl2 0.000 0.000 0.589
Hg1 0.500 0.500 0.250
Si1 0.500 0.500 0.750

Record 9
Here is an optimized crystal structure of Ca2PmGa6 from Alexandria via LeMat-Bulk. Energies are from PBE.

Output
As for the excess energy over the best structure of this formula in the dataset: 0 meV per atom. The formation energy is -545 meV per atom.

Lattice parameters (Å, degrees): 4.244 7.461 7.461 120.00 90.00 90.00
Sites, in units of the cell vectors:
Ca1 0.000 0.333 0.667
Ca2 0.000 0.667 0.333
Pm1 0.000 0.000 0.000
Ga1 0.500 0.333 0.333
Ga2 0.500 0.667 0.667
Ga3 0.500 0.000 0.667
Ga4 0.500 0.667 0.000
Ga5 0.500 0.333 0.000
Ga6 0.500 0.000 0.333

Record 10
Here is an optimized crystal structure of MgFe from Alexandria via LeMat-Bulk. Energies are from PBE.

Output
The formation energy is 305 meV per atom.

Lattice parameters (Å, degrees): 2.835 11.842 6.311 90.00 90.00 90.00
Last column: magnetic moment on the atom in μB.
Sites, in units of the cell vectors:
Mg1 0.500 0.771 0.715  -0.03
Mg2 0.500 0.229 0.715  -0.03
Mg3 0.500 0.271 0.215  -0.03
Mg4 0.500 0.729 0.215  -0.03
Mg5 0.500 0.000 0.085  -0.03
Mg6 0.500 0.500 0.585  -0.03
Fe1 0.000 0.400 0.918  2.27
Fe2 0.000 0.600 0.918  2.27
Fe3 0.000 0.900 0.418  2.27
Fe4 0.000 0.100 0.418  2.27
Fe5 0.500 0.000 0.651  2.43
Fe6 0.500 0.500 0.151  2.43

Record 11
Here is an optimized crystal structure of Te3Se from Alexandria via LeMat-Bulk. Energies are from PBE.

Output
As for the formation energy (no corrections): 81.2 meV per atom.

Lattice parameters (Å, degrees): 6.164 4.424 4.427 90.00 90.00 90.00
Sites, in units of the cell vectors:
Te1 0.000 0.000 0.833
Te2 0.000 0.500 0.333
Te3 0.500 0.500 0.333
Se1 0.500 0.000 0.833

Record 12
Here is an optimized crystal structure of LiTl2VCl6 from Alexandria via LeMat-Bulk. Energies are from PBE.

Output
As for the formation energy (no corrections): -1254.0 meV per atom.

Lattice parameters (Å, degrees): 7.028 7.029 9.943 90.00 90.00 90.00
Last column: magnetic moment on the atom in μB.
Sites, in units of the cell vectors:
Li1 0.000 0.749 0.500  0.00
Li2 0.500 0.251 0.000  0.00
Tl1 0.500 0.750 0.250  0.00
Tl2 0.000 0.250 0.750  0.00
Tl3 0.500 0.750 0.750  0.00
Tl4 0.000 0.250 0.250  0.00
V1 0.500 0.250 0.500  1.86
V2 0.000 0.750 0.000  1.86
Cl1 0.500 0.250 0.260  -0.01
Cl2 0.500 0.250 0.740  -0.01
Cl3 0.000 0.750 0.240  -0.01
Cl4 0.000 0.750 0.760  -0.01
Cl5 0.260 0.009 0.500  -0.01
Cl6 0.740 0.009 0.500  -0.01
Cl7 0.259 0.490 0.500  -0.01
Cl8 0.741 0.490 0.500  -0.01
Cl9 0.759 0.510 0.000  -0.01
Cl10 0.241 0.510 0.000  -0.01
Cl11 0.240 0.991 0.000  -0.01
Cl12 0.760 0.991 0.000  -0.01

Calculated total energy (computed, eV per atom): -1.683; -3.218; -2.920; -6.085; -4.292; -4.603; -4.097; -2.528; -3.536; -4.723; -3.146; -3.938
M_tot (computed, Bohr magnetons per cell): 0.00; 0.00; 0.00; 3.69; 0.00; 0.00; 0.00; 0.00; 0.00; 13.59; 0.00; 4.00